# PBE-GGA UZnTc, optimized geometry
# **Energy**: -0.555 Ry/atom
# **Magnetization**: 1.249 μB/f.u.
# **Energy of formation**: 1.99 kcal/mol of atoms
# **Offset from the most stable computed form**: 181 meV per atom
data_UZnTc
_chemical_formula_sum 'U2 Zn2 Tc2'
_symmetry_space_group_name_H-M 'I 4 m m'
_symmetry_Int_Tables_number 107
_symmetry_space_group_name_Hall 'I 4 -2'
_cell_length_a 3.148
_cell_length_b 3.148
_cell_length_c 11.066
_cell_angle_alpha 90.00
_cell_angle_beta 90.00
_cell_angle_gamma 90.00
loop_
_atom_site_label
_atom_site_type_symbol
_atom_site_fract_x
_atom_site_fract_y
_atom_site_fract_z
U1 U 0.000 0.000 0.000
Zn1 Zn 0.000 0.000 0.711
Tc1 Tc 0.000 0.000 0.351


# PBE-GGA NdScHgPt, optimized geometry
# **Energy**: -0.371 Ry/atom
# **Magnetization**: 0.000 μB/f.u.
# **Energy of formation**: -15.89 kcal/mol of atoms
data_NdScHgPt
_chemical_formula_sum 'Nd4 Sc4 Hg4 Pt4'
_symmetry_space_group_name_H-M 'F -4 3 m'
_symmetry_Int_Tables_number 216
_symmetry_space_group_name_Hall 'F -4 2 3'
_cell_length_a 7.156
_cell_length_b 7.156
_cell_length_c 7.156
_cell_angle_alpha 90.00
_cell_angle_beta 90.00
_cell_angle_gamma 90.00
loop_
_atom_site_label
_atom_site_type_symbol
_atom_site_fract_x
_atom_site_fract_y
_atom_site_fract_z
Nd1 Nd 0.000 0.000 0.000
Sc1 Sc 0.000 0.000 0.500
Hg1 Hg 0.250 0.250 0.750
Pt1 Pt 0.250 0.250 0.250


# PBE-GGA RbTlS2Cl, optimized geometry
# **Formation energy from raw total energies**: 0.25 eV/atom
# **Energy**: -0.179 Ry/atom
# **Magnetization**: 3.000 μB/f.u.
# **Offset from the most stable computed form**: 664 meV per atom
data_RbTlS2Cl
_chemical_formula_sum 'Rb1 Tl1 S2 Cl1'
_symmetry_space_group_name_H-M 'P 4/m m m'
_symmetry_Int_Tables_number 123
_symmetry_space_group_name_Hall '-P 4 2'
_cell_length_a 6.097
_cell_length_b 6.097
_cell_length_c 6.075
_cell_angle_alpha 90.00
_cell_angle_beta 90.00
_cell_angle_gamma 90.00
loop_
_atom_site_label
_atom_site_type_symbol
_atom_site_fract_x
_atom_site_fract_y
_atom_site_fract_z
Rb1 Rb 0.000 0.000 0.000
Tl1 Tl 0.500 0.500 0.500
S1 S 0.000 0.500 0.000
Cl1 Cl 0.000 0.000 0.500


# PBE-GGA TiSbTe2Ru, optimized geometry
# **Formation energy from raw total energies**: 0.61 eV/atom
# **Energy**: -0.361 Ry/atom
# **Magnetization**: 1.721 μB/f.u.
# **Offset from the most stable computed form**: 0 meV per atom
data_TiSbTe2Ru
_chemical_formula_sum 'Ti1 Sb1 Te2 Ru1'
_symmetry_space_group_name_H-M 'P 4/m m m'
_symmetry_Int_Tables_number 123
_symmetry_space_group_name_Hall '-P 4 2'
_cell_length_a 5.328
_cell_length_b 5.328
_cell_length_c 4.903
_cell_angle_alpha 90.00
_cell_angle_beta 90.00
_cell_angle_gamma 90.00
loop_
_atom_site_label
_atom_site_type_symbol
_atom_site_fract_x
_atom_site_fract_y
_atom_site_fract_z
Ti1 Ti 0.000 0.000 0.000
Sb1 Sb 0.500 0.500 0.000
Te1 Te 0.000 0.500 0.500
Ru1 Ru 0.500 0.500 0.500


# PBE-GGA TbNpSnHg, optimized geometry
# **Energy**: -0.414 Ry/atom
# **Magnetization**: 5.246 μB/f.u.
# **Energy of formation**: -3.80 kcal/mol of atoms
data_TbNpSnHg
_chemical_formula_sum 'Tb4 Np4 Sn4 Hg4'
_symmetry_space_group_name_H-M 'F -4 3 m'
_symmetry_Int_Tables_number 216
_symmetry_space_group_name_Hall 'F -4 2 3'
_cell_length_a 7.519
_cell_length_b 7.519
_cell_length_c 7.519
_cell_angle_alpha 90.00
_cell_angle_beta 90.00
_cell_angle_gamma 90.00
loop_
_atom_site_label
_atom_site_type_symbol
_atom_site_fract_x
_atom_site_fract_y
_atom_site_fract_z
Tb1 Tb 0.000 0.000 0.000
Np1 Np 0.000 0.000 0.500
Sn1 Sn 0.250 0.250 0.250
Hg1 Hg 0.250 0.250 0.750


# PBE-GGA SrTaHg, optimized geometry
# **Energy**: -0.222 Ry/atom
# **Magnetization**: 4.316 μB/f.u.
# **Energy of formation**: 36.72 kcal/mol of atoms
# **Offset from the most stable computed form**: 1057 meV per atom
data_SrTaHg
_chemical_formula_sum 'Sr4 Ta4 Hg4'
_symmetry_space_group_name_H-M 'F -4 3 m'
_symmetry_Int_Tables_number 216
_symmetry_space_group_name_Hall 'F -4 2 3'
_cell_length_a 7.519
_cell_length_b 7.519
_cell_length_c 7.519
_cell_angle_alpha 90.00
_cell_angle_beta 90.00
_cell_angle_gamma 90.00
loop_
_atom_site_label
_atom_site_type_symbol
_atom_site_fract_x
_atom_site_fract_y
_atom_site_fract_z
Sr1 Sr 0.000 0.000 0.000
Ta1 Ta 0.250 0.250 0.750
Hg1 Hg 0.250 0.250 0.250